The following is a DFT calculation (PBE-GGA) of a relaxed CdTcIr2 crystal.

Properties
Symmetry = No. 123
Electronic total energy = -7.313 eV/atom
ΔH_f (0 K) = -62 meV/atom
Total moment = 0.00 μB per formula unit

Cell and atoms, written as POSCAR:
```
CdTcIr2
1.0
2.813 0.000 0.000
0.000 2.813 0.000
0.000 0.000 7.957
Cd Tc Ir
1 1 2
Cartesian
0.000 0.000 0.000
0.000 0.000 3.978
1.406 1.406 2.187
1.406 1.406 5.770
```